Density functional theory data (PBE) for crystalline Sc2SiPd at its relaxed geometry.

Lattice parameters (Å, degrees): 5.449 4.158 7.112 90.00 110.25 90.00
Element x y z (fractional)
1 Sc 0.210 0.250 0.433
2 Sc 0.214 0.250 0.917
3 Sc 0.786 0.750 0.083
4 Sc 0.790 0.750 0.567
5 Si 0.329 0.750 0.207
6 Si 0.671 0.250 0.793
7 Pd 0.358 0.750 0.712
8 Pd 0.642 0.250 0.288

Properties
space-group type	P2_1/m
formation energy without anion corrections	-0.827	eV per atom
size of the total moment	0.0	μB/f.u.
crystal system	monoclinic
calculated volume	151.18	Å³/cell